Compound: CrC2
Source: Alexandria via LeMat-Bulk
Functional: PBE
Structure: optimized geometry

Output
As for the space group: No. 74. The energy relative to the elements is 653 meV per atom. The value obtained for the energy above the most stable polymorph in this dataset is 45.6 kJ/mol of formula units. As for the total energy: -8.704 eV/atom.

Lattice parameters (Å, degrees): 5.9633 5.9633 5.9633 155.26 143.46 44.63
Sites, in units of the cell vectors:
1 C 0.0328 0.7828 0.2500
2 C 0.1650 0.9150 0.2500
3 C 0.9672 0.2172 0.7500
4 C 0.8350 0.0850 0.7500
5 Cr 0.3048 0.5548 0.7500
6 Cr 0.6952 0.4452 0.2500



Compound: Nd3Er2ScS6
Source: Alexandria via LeMat-Bulk
Functional: PBE
Structure: optimized geometry

Output
As for the space group: No. 12. The formation energy from raw total energies is -1.975 eV per atom. As for the total energy: -6.518 eV/atom.

Lattice parameters (Å, degrees): 6.7576 6.7576 6.9558 99.33 99.33 120.16
Sites, in units of the cell vectors:
1 Er 0.3337 0.6663 0.0000
2 Er 0.6663 0.3337 0.0000
3 S 0.2502 0.2502 0.7719
4 S 0.9253 0.5987 0.7745
5 S 0.0747 0.4013 0.2255
6 S 0.5987 0.9253 0.7745
7 S 0.4013 0.0747 0.2255
8 S 0.7498 0.7498 0.2281
9 Nd 0.1690 0.8310 0.5000
10 Nd 0.5000 0.5000 0.5000
11 Nd 0.8310 0.1690 0.5000
12 Sc 0.0000 0.0000 0.0000



Compound: NbGa2OsPb
Source: Alexandria via LeMat-Bulk
Functional: PBE
Structure: optimized geometry

Output
As for the space group: No. 123. The energy relative to the elements is 1617 meV per atom. As for the total energy: -4.595 eV/atom.

Lattice parameters (Å, degrees): 4.9470 5.4177 4.9470 90.00 90.00 90.00
Sites, in units of the cell vectors:
1 Ga 0.0000 0.0000 0.5000
2 Ga 0.5000 0.0000 0.0000
3 Nb 0.0000 0.0000 0.0000
4 Pb 0.0000 0.5000 0.0000
5 Os 0.5000 0.5000 0.5000



Compound: TlTe4Mo
Source: Alexandria via LeMat-Bulk
Functional: PBE
Structure: optimized geometry

Output
As for the space group: No. 15. The value obtained for the energy above the most stable polymorph in this dataset is 0.0 kJ/mol of formula units. The formation energy from raw total energies is -0.080 eV per atom. As for the total energy: -4.374 eV/atom.

Lattice parameters (Å, degrees): 6.2826 9.4325 8.3364 55.55 77.36 67.24
Sites, in units of the cell vectors:
1 Te 0.8585 0.3166 0.8566
2 Te 0.0604 0.0567 0.6848
3 Te 0.1415 0.6834 0.1434
4 Te 0.9396 0.9433 0.3152
5 Te 0.5604 0.7414 0.3152
6 Te 0.4396 0.2586 0.6848
7 Te 0.3585 0.1732 0.1434
8 Te 0.6415 0.8268 0.8566
9 Tl 0.2500 0.6238 0.7523
10 Tl 0.7500 0.3762 0.2477
11 Mo 0.2500 0.9994 0.0012
12 Mo 0.7500 0.0006 0.9988



Compound: BaTc2Au
Source: Alexandria via LeMat-Bulk
Functional: PBE
Structure: optimized geometry

Output
As for the space group: No. 123. The energy relative to the elements is 1129 meV per atom. The value obtained for the energy above the most stable polymorph in this dataset is 343.1 kJ/mol of formula units. As for the total energy: -5.354 eV/atom.

Lattice parameters (Å, degrees): 4.6826 4.2593 4.2593 90.00 90.00 90.00
Sites, in units of the cell vectors:
1 Ba 0.5000 0.0000 0.5000
2 Tc 0.0000 0.5000 0.5000
3 Tc 0.0000 0.0000 0.0000
4 Au 0.5000 0.5000 0.0000



Compound: K4Tb3MnS8
Source: Alexandria via LeMat-Bulk
Functional: PBE
Structure: optimized geometry

Output
As for the space group: No. 166. The formation energy from raw total energies is -1.571 eV per atom. As for the total energy: -5.351 eV/atom.

Lattice parameters (Å, degrees): 7.9732 8.6787 7.9745 117.35 119.99 90.00
Sites, in units of the cell vectors:
1 S 0.7506 0.6948 0.9727
2 S 0.7777 0.3051 0.5554
3 S 0.2221 0.6948 0.9727
4 S 0.2223 0.6949 0.4446
5 S 0.7352 0.7055 0.4703
6 S 0.2648 0.2945 0.5297
7 S 0.7779 0.3052 0.0273
8 S 0.2494 0.3052 0.0273
9 Mn 0.0000 0.5000 0.0000
10 K 0.0000 0.0000 0.5000
11 K 0.5000 0.0000 0.5000
12 K 0.5000 0.0000 0.0000
13 K 0.0000 0.0000 0.0000
14 Tb 0.0000 0.5000 0.5000
15 Tb 0.5000 0.5000 0.0000
16 Tb 0.5000 0.5000 0.5000



Compound: SiHS3
Source: Alexandria via LeMat-Bulk
Functional: PBE
Structure: optimized geometry

Output
As for the space group: No. 221. The value obtained for the energy above the most stable polymorph in this dataset is 457.7 kJ/mol of formula units. As for the total energy: -3.430 eV/atom.

Lattice parameters (Å, degrees): 4.5054 4.5054 4.5054 90.00 90.00 90.00
Sites, in units of the cell vectors:
1 Si 0.0000 0.0000 0.0000
2 S 0.0000 0.0000 0.5000
3 S 0.5000 0.0000 0.0000
4 S 0.0000 0.5000 0.0000
5 H 0.5000 0.5000 0.5000



Compound: NaCuP2O
Source: Alexandria via LeMat-Bulk
Functional: PBE
Structure: optimized geometry

Output
As for the space group: No. 123. The value obtained for the energy above the most stable polymorph in this dataset is 0.0 kJ/mol of formula units. The formation energy from raw total energies is 0.346 eV per atom. As for the total energy: -3.893 eV/atom.

Lattice parameters (Å, degrees): 4.7839 4.7839 3.6660 90.00 90.00 90.00
Sites, in units of the cell vectors:
1 O 0.0000 0.0000 0.5000
2 P 0.5000 0.0000 0.0000
3 P 0.0000 0.5000 0.0000
4 Na 0.5000 0.5000 0.5000
5 Cu 0.0000 0.0000 0.0000



Compound: Cr2AsRu
Source: Alexandria via LeMat-Bulk
Functional: PBE
Structure: optimized geometry

Output
As for the space group: No. 25. The energy relative to the elements is 53 meV per atom. As for the total energy: -8.240 eV/atom.

Lattice parameters (Å, degrees): 4.2148 2.8892 4.4298 89.99 90.00 90.00
Sites, in units of the cell vectors:
1 As 0.5000 0.6251 0.7948
2 Cr 0.5000 0.1250 0.2588
3 Cr 0.0000 0.1250 0.9720
4 Ru 0.0000 0.6249 0.4744



Compound: SbSI2
Source: Alexandria via LeMat-Bulk
Functional: PBE
Structure: optimized geometry

Output
As for the space group: No. 26. The value obtained for the energy above the most stable polymorph in this dataset is 0.0 kJ/mol of formula units. The formation energy from raw total energies is -0.163 eV per atom. As for the total energy: -3.001 eV/atom.

Lattice parameters (Å, degrees): 5.8309 5.8778 10.2991 90.00 90.00 90.00
Sites, in units of the cell vectors:
1 Sb 0.1276 0.0000 0.8684
2 Sb 0.6276 0.0000 0.1316
3 I 0.4276 0.0000 0.4752
4 I 0.9276 0.0000 0.5248
5 I 0.2042 0.5000 0.8084
6 I 0.7042 0.5000 0.1916
7 S 0.2059 0.0000 0.1036
8 S 0.7059 0.0000 0.8964



Compound: Na2MnPN
Source: Alexandria via LeMat-Bulk
Functional: PBE
Structure: optimized geometry

Output
As for the space group: No. 123. The formation energy from raw total energies is 0.762 eV per atom. As for the total energy: -4.347 eV/atom.

Lattice parameters (Å, degrees): 5.8134 3.4354 5.8134 90.00 90.00 90.00
Sites, in units of the cell vectors:
1 N 0.0000 0.5000 0.0000
2 Na 0.0000 0.0000 0.5000
3 Na 0.5000 0.0000 0.0000
4 P 0.0000 0.0000 0.0000
5 Mn 0.5000 0.5000 0.5000



Compound: Ac2NdZn6
Source: Alexandria via LeMat-Bulk
Functional: PBE
Structure: optimized geometry

Output
As for the space group: No. 191. The energy relative to the elements is -303 meV per atom. As for the total energy: -2.595 eV/atom.

Lattice parameters (Å, degrees): 3.8444 8.0899 8.0899 120.00 90.00 90.00
Sites, in units of the cell vectors:
1 Ac 0.0000 0.6667 0.3333
2 Ac 0.0000 0.3333 0.6667
3 Zn 0.5000 0.0000 0.6746
4 Zn 0.5000 0.3254 0.3254
5 Zn 0.5000 0.6746 0.0000
6 Zn 0.5000 0.6746 0.6746
7 Zn 0.5000 0.0000 0.3254
8 Zn 0.5000 0.3254 0.0000
9 Nd 0.0000 0.0000 0.0000



Compound: AgOs3Ru
Source: Alexandria via LeMat-Bulk
Functional: PBE
Structure: optimized geometry

Output
As for the space group: No. 221. The energy relative to the elements is 2319 meV per atom. The value obtained for the energy above the most stable polymorph in this dataset is 0.0 kJ/mol of formula units. As for the total energy: -6.844 eV/atom.

Lattice parameters (Å, degrees): 4.6633 4.6633 4.6633 90.00 90.00 90.00
Sites, in units of the cell vectors:
1 Ag 0.5000 0.5000 0.5000
2 Ru 0.0000 0.0000 0.0000
3 Os 0.0000 0.5000 0.0000
4 Os 0.0000 0.0000 0.5000
5 Os 0.5000 0.0000 0.0000



Compound: ErPH
Source: Alexandria via LeMat-Bulk
Functional: PBE
Structure: optimized geometry

Output
As for the space group: No. 12. The value obtained for the energy above the most stable polymorph in this dataset is 0.0 kJ/mol of formula units. As for the total energy: -5.308 eV/atom.

Lattice parameters (Å, degrees): 5.5154 8.0427 9.4681 156.02 106.93 90.00
Sites, in units of the cell vectors:
1 Er 0.3046 0.7751 0.6091
2 Er 0.6954 0.2249 0.3909
3 P 0.8119 0.8123 0.6237
4 P 0.1881 0.1877 0.3763
5 H 0.5610 0.6055 0.1220
6 H 0.4390 0.3945 0.8780



Compound: LaPrIn3
Source: Alexandria via LeMat-Bulk
Functional: PBE
Structure: optimized geometry

Output
As for the space group: No. 166. The energy relative to the elements is -289 meV per atom. The value obtained for the energy above the most stable polymorph in this dataset is 0.0 kJ/mol of formula units. As for the total energy: -3.873 eV/atom.

Lattice parameters (Å, degrees): 9.9690 9.9697 9.9698 35.93 35.93 35.93
Sites, in units of the cell vectors:
1 In 0.7487 0.2484 0.7486
2 In 0.2484 0.7485 0.7488
3 In 0.2515 0.2512 0.7516
4 In 0.7485 0.7488 0.2484
5 In 0.7516 0.2515 0.2512
6 In 0.2513 0.7516 0.2514
7 La 0.3087 0.3086 0.3086
8 La 0.6913 0.6914 0.6914
9 Pr 0.8085 0.8086 0.8086
10 Pr 0.1915 0.1914 0.1914



Compound: LiHgSeBr2
Source: Alexandria via LeMat-Bulk
Functional: PBE
Structure: optimized geometry

Output
As for the space group: No. 123. The value obtained for the energy above the most stable polymorph in this dataset is 32.8 kJ/mol of formula units. The formation energy from raw total energies is -0.138 eV per atom. As for the total energy: -1.947 eV/atom.

Lattice parameters (Å, degrees): 4.6494 4.6494 6.3834 90.00 90.00 90.00
Sites, in units of the cell vectors:
1 Li 0.0000 0.0000 0.0000
2 Br 0.5000 0.0000 0.0000
3 Br 0.0000 0.5000 0.0000
4 Hg 0.5000 0.5000 0.5000
5 Se 0.0000 0.0000 0.5000



Compound: RbZnIr3
Source: Alexandria via LeMat-Bulk
Functional: PBE
Structure: optimized geometry

Output
As for the space group: No. 221. The energy relative to the elements is 1533 meV per atom. The value obtained for the energy above the most stable polymorph in this dataset is 0.0 kJ/mol of formula units. As for the total energy: -4.232 eV/atom.

Lattice parameters (Å, degrees): 4.7407 4.7407 4.7407 90.00 90.00 90.00
Sites, in units of the cell vectors:
1 Ir 0.0000 0.5000 0.0000
2 Ir 0.0000 0.0000 0.5000
3 Ir 0.5000 0.0000 0.0000
4 Rb 0.5000 0.5000 0.5000
5 Zn 0.0000 0.0000 0.0000



Compound: Ho2CuI
Source: Alexandria via LeMat-Bulk
Functional: PBE
Structure: optimized geometry

Output
As for the space group: No. 166. The formation energy from raw total energies is -0.469 eV per atom. As for the total energy: -4.169 eV/atom.

Lattice parameters (Å, degrees): 4.0540 4.0540 8.0768 75.47 75.47 60.00
Sites, in units of the cell vectors:
1 Ho 0.2691 0.2691 0.1928
2 Ho 0.7309 0.7309 0.8072
3 Cu 0.0000 0.0000 0.0000
4 I 0.5000 0.5000 0.5000



Compound: BaTlCrH2
Source: Alexandria via LeMat-Bulk
Functional: PBE
Structure: optimized geometry

Output
As for the space group: No. 123. As for the total energy: -3.427 eV/atom.

Lattice parameters (Å, degrees): 4.6495 7.3522 4.6495 90.00 90.00 90.00
Sites, in units of the cell vectors:
1 H 0.5000 0.0000 0.0000
2 H 0.0000 0.0000 0.5000
3 Cr 0.5000 0.5000 0.5000
4 Ba 0.0000 0.0000 0.0000
5 Tl 0.0000 0.5000 0.0000



Compound: Cs2OsCl7
Source: Alexandria via LeMat-Bulk
Functional: PBE
Structure: optimized geometry

Output
As for the space group: No. 15. The value obtained for the energy above the most stable polymorph in this dataset is 80.1 kJ/mol of formula units. The formation energy from raw total energies is -0.933 eV per atom. As for the total energy: -3.519 eV/atom.

Lattice parameters (Å, degrees): 7.5312 10.8750 9.4420 83.33 66.50 69.74
Sites, in units of the cell vectors:
1 Cs 0.2892 0.5522 0.7736
2 Cs 0.3850 0.0522 0.2736
3 Cs 0.7108 0.4478 0.2264
4 Cs 0.6150 0.9478 0.7264
5 Cl 0.3258 0.2558 0.5836
6 Cl 0.2026 0.8215 0.9981
7 Cl 0.3378 0.7500 0.2500
8 Cl 0.9778 0.3215 0.4981
9 Cl 0.1250 0.0252 0.6756
10 Cl 0.8349 0.7558 0.0836
11 Cl 0.1651 0.2442 0.9164
12 Cl 0.0222 0.6785 0.5019
13 Cl 0.8258 0.4748 0.8244
14 Cl 0.8750 0.9748 0.3244
15 Cl 0.6622 0.2500 0.7500
16 Cl 0.1742 0.5252 0.1756
17 Cl 0.6742 0.7442 0.4164
18 Cl 0.7974 0.1785 0.0019
19 Os 0.9820 0.2500 0.7500
20 Os 0.0180 0.7500 0.2500